[1]
Sr2Ag7 (GGA-PBE, optimized geometry); formation enthalpy at 0 K = -0.19 eV per atom; volume = 23.14 Å³ per atom; electronic total energy = -2.784 eV/atom
1.0
2.917 1.684 14.136
-2.917 1.684 14.136
0.000 -3.368 14.136
Sr Ag
4 14
Direct
0.051 0.051 0.051 Sr
0.149 0.149 0.149 Sr
0.851 0.851 0.851 Sr
0.949 0.949 0.949 Sr
0.000 0.500 0.500 Ag
0.109 0.611 0.611 Ag
0.278 0.278 0.278 Ag
0.388 0.388 0.388 Ag
0.389 0.389 0.891 Ag
0.389 0.891 0.389 Ag
0.500 0.000 0.500 Ag
0.500 0.500 0.000 Ag
0.500 0.500 0.500 Ag
0.611 0.109 0.611 Ag
0.611 0.611 0.109 Ag
0.612 0.612 0.612 Ag
0.722 0.722 0.722 Ag
0.891 0.389 0.389 Ag

***

[2]
SrAg (GGA-PBE, optimized geometry); formation enthalpy at 0 K = -0.31 eV per atom; volume = 32.16 Å³ per atom; electronic total energy = -2.581 eV/atom
1.0
8.350 0.000 0.000
0.000 4.804 0.000
0.000 0.000 6.415
Sr Ag
4 4
Direct
0.180 0.250 0.132 Sr
0.320 0.750 0.632 Sr
0.680 0.250 0.368 Sr
0.820 0.750 0.868 Sr
0.035 0.250 0.624 Ag
0.465 0.750 0.124 Ag
0.535 0.250 0.876 Ag
0.965 0.750 0.376 Ag

***

[3]
SrAg (GGA-PBE, optimized geometry); formation enthalpy at 0 K = -0.16 eV per atom; volume = 35.20 Å³ per atom; electronic total energy = -2.426 eV/atom
1.0
2.322 1.340 3.771
-2.322 1.340 3.771
0.000 -2.681 3.771
Sr Ag
1 1
Direct
0.000 0.000 0.000 Sr
0.500 0.500 0.500 Ag

***

[4]
SrAg2 (GGA-PBE, optimized geometry); formation enthalpy at 0 K = -0.19 eV per atom; volume = 27.19 Å³ per atom; electronic total energy = -2.653 eV/atom
1.0
-2.183 3.196 5.848
2.183 -3.196 5.848
2.183 3.196 -5.848
Sr Ag
2 4
Direct
0.177 0.177 0.000 Sr
0.823 0.823 0.000 Sr
0.262 0.500 0.762 Ag
0.383 0.883 0.500 Ag
0.617 0.117 0.500 Ag
0.738 0.500 0.238 Ag

***

Q: Among the records above, which one has the highest volume?
A: number 3

***

Q: The highest volume belongs to which entry?
A: number 3